No. 1
VIn2Hg | PBE | relaxed

Geometry as CIF:
```
data_VIn2Hg
_chemical_formula_sum 'V3 In6 Hg3'
_cell_length_a 3.1699
_cell_length_b 3.1699
_cell_length_c 33.8386
_cell_angle_alpha 90.00
_cell_angle_beta 90.00
_cell_angle_gamma 120.00
_space_group_name_H-M_alt 'R -3 m'
_space_group_IT_number 166
_space_group_name_Hall '-R 3 2"'
loop_
_atom_site_label
_atom_site_type_symbol
_atom_site_fract_x
_atom_site_fract_y
_atom_site_fract_z
V1 V 0.0000 0.0000 0.0000
In1 In 0.0000 0.0000 0.0841
Hg1 Hg 0.0000 0.0000 0.5000
```

## Properties
For the calculated formation energy, the calculation gives 579 meV per atom. As for the distance to the lowest polymorph of the same formula: 17.0 kJ/mol of atoms.

No. 2
YCu3Ag4O12 | PBE | relaxed

Geometry as CIF:
```
data_YCu3Ag4O12
_chemical_formula_sum 'Y2 Cu6 Ag8 O24'
_cell_length_a 7.753
_cell_length_b 7.753
_cell_length_c 7.753
_cell_angle_alpha 90.00
_cell_angle_beta 90.00
_cell_angle_gamma 90.00
_space_group_name_H-M_alt 'I m -3'
_space_group_IT_number 204
_space_group_name_Hall '-I 2 2 3'
loop_
_atom_site_label
_atom_site_type_symbol
_atom_site_fract_x
_atom_site_fract_y
_atom_site_fract_z
Y1 Y 0.000 0.000 0.000
Cu1 Cu 0.000 0.000 0.500
Ag1 Ag 0.250 0.250 0.250
O1 O 0.000 0.155 0.310
```

## Properties
Its formation energy (no corrections) is -0.4947 eV/atom.

No. 3
Cd2FeHg | PBE | relaxed

Geometry as CIF:
```
data_Cd2FeHg
_chemical_formula_sum 'Cd2 Fe1 Hg1'
_cell_length_a 4.230
_cell_length_b 4.230
_cell_length_c 4.249
_cell_angle_alpha 90.00
_cell_angle_beta 90.00
_cell_angle_gamma 90.00
_space_group_name_H-M_alt 'P 4/m m m'
_space_group_IT_number 123
_space_group_name_Hall '-P 4 2'
loop_
_atom_site_label
_atom_site_type_symbol
_atom_site_fract_x
_atom_site_fract_y
_atom_site_fract_z
Cd1 Cd 0.000 0.500 0.000
Fe1 Fe 0.000 0.000 0.500
Hg1 Hg 0.500 0.500 0.500
```

## Properties
For the calculated formation energy, the calculation gives 292 meV per atom.

No. 4
MgTlAgTe2 | PBE | relaxed

Geometry as CIF:
```
data_MgTlAgTe2
_chemical_formula_sum 'Mg4 Tl4 Ag4 Te8'
_cell_length_a 6.472
_cell_length_b 15.216
_cell_length_c 6.639
_cell_angle_alpha 90.00
_cell_angle_beta 90.00
_cell_angle_gamma 90.00
_space_group_name_H-M_alt 'C m m e'
_space_group_IT_number 67
_space_group_name_Hall '-C 2a 2'
loop_
_atom_site_label
_atom_site_type_symbol
_atom_site_fract_x
_atom_site_fract_y
_atom_site_fract_z
Mg1 Mg 0.250 0.000 0.000
Tl1 Tl 0.000 0.250 0.252
Ag1 Ag 0.000 0.000 0.500
Te1 Te 0.000 0.122 0.786
```

## Properties
Its formation energy (no corrections) is -0.4061 eV/atom.

No. 5
UPaNi | PBE | relaxed

Geometry as CIF:
```
data_UPaNi
_chemical_formula_sum 'U2 Pa2 Ni2'
_cell_length_a 3.397
_cell_length_b 6.048
_cell_length_c 6.664
_cell_angle_alpha 115.63
_cell_angle_beta 100.32
_cell_angle_gamma 95.24
_space_group_name_H-M_alt 'P -1'
_space_group_IT_number 2
loop_
_space_group_symop_operation_xyz
'x,y,z'
'-x,-y,-z'
loop_
_atom_site_label
_atom_site_type_symbol
_atom_site_fract_x
_atom_site_fract_y
_atom_site_fract_z
U1 U 0.084 0.293 0.466
Pa1 Pa 0.277 0.274 0.081
Ni1 Ni 0.391 0.865 0.280
```

## Properties
For the calculated formation energy, the calculation gives -171 meV per atom. As for the distance to the lowest polymorph of the same formula: 0.0 kJ/mol of atoms.

No. 6
Li2NdPaSe4 | PBE | relaxed

Geometry as CIF:
```
data_Li2NdPaSe4
_chemical_formula_sum 'Li2 Nd1 Pa1 Se4'
_cell_length_a 7.005
_cell_length_b 4.077
_cell_length_c 7.145
_cell_angle_alpha 90.00
_cell_angle_beta 109.62
_cell_angle_gamma 90.00
_space_group_name_H-M_alt 'P 1 2/m 1'
_space_group_IT_number 10
loop_
_space_group_symop_operation_xyz
'x,y,z'
'-x,-y,-z'
'-x,y,-z'
'x,-y,z'
loop_
_atom_site_label
_atom_site_type_symbol
_atom_site_fract_x
_atom_site_fract_y
_atom_site_fract_z
Li1 Li 0.000 0.000 0.000
Li2 Li 0.000 0.500 0.500
Nd1 Nd 0.500 0.000 0.500
Pa1 Pa 0.500 0.500 0.000
Se1 Se 0.237 0.500 0.236
Se2 Se 0.238 0.000 0.752
```

## Properties
Its formation energy (no corrections) is -1.4508 eV/atom.

No. 7
Ca2CdHg | PBE | relaxed

Geometry as CIF:
```
data_Ca2CdHg
_chemical_formula_sum 'Ca8 Cd4 Hg4'
_cell_length_a 8.451
_cell_length_b 8.451
_cell_length_c 7.226
_cell_angle_alpha 90.00
_cell_angle_beta 90.00
_cell_angle_gamma 90.00
_space_group_name_H-M_alt 'I -4 2 d'
_space_group_IT_number 122
_space_group_name_Hall 'I -4 2bw'
loop_
_atom_site_label
_atom_site_type_symbol
_atom_site_fract_x
_atom_site_fract_y
_atom_site_fract_z
Ca1 Ca 0.240 0.250 0.125
Cd1 Cd 0.000 0.000 0.500
Hg1 Hg 0.000 0.000 0.000
```

## Properties
For the calculated formation energy, the calculation gives -177 meV per atom. As for the distance to the lowest polymorph of the same formula: 26.8 kJ/mol of atoms.

No. 8
CePu2Pt4 | PBE | relaxed

Geometry as CIF:
```
data_CePu2Pt4
_chemical_formula_sum 'Ce2 Pu4 Pt8'
_cell_length_a 7.488
_cell_length_b 7.488
_cell_length_c 5.640
_cell_angle_alpha 90.00
_cell_angle_beta 90.00
_cell_angle_gamma 90.00
_space_group_name_H-M_alt 'I 4/m m m'
_space_group_IT_number 139
_space_group_name_Hall '-I 4 2'
loop_
_atom_site_label
_atom_site_type_symbol
_atom_site_fract_x
_atom_site_fract_y
_atom_site_fract_z
Ce1 Ce 0.000 0.000 0.000
Pu1 Pu 0.000 0.500 0.000
Pt1 Pt 0.250 0.250 0.250
```

## Properties
For the calculated formation energy, the calculation gives -690 meV per atom.

No. 9
LaPr2Zn2Hg2 | PBE | relaxed

Geometry as CIF:
```
data_LaPr2Zn2Hg2
_chemical_formula_sum 'La3 Pr6 Zn6 Hg6'
_cell_length_a 4.8163
_cell_length_b 4.8163
_cell_length_c 28.0451
_cell_angle_alpha 90.00
_cell_angle_beta 90.00
_cell_angle_gamma 120.00
_space_group_name_H-M_alt 'R -3 m'
_space_group_IT_number 166
_space_group_name_Hall '-R 3 2"'
loop_
_atom_site_label
_atom_site_type_symbol
_atom_site_fract_x
_atom_site_fract_y
_atom_site_fract_z
La1 La 0.0000 0.0000 0.0000
Pr1 Pr 0.0000 0.0000 0.1261
Zn1 Zn 0.0000 0.0000 0.2572
Hg1 Hg 0.0000 0.0000 0.4005
```

## Properties
For the calculated formation energy, the calculation gives -324 meV per atom.

No. 10
LaGe2Pd3 | PBE | relaxed

Geometry as CIF:
```
data_LaGe2Pd3
_chemical_formula_sum 'La6 Ge12 Pd18'
_cell_length_a 16.910
_cell_length_b 4.154
_cell_length_c 10.180
_cell_angle_alpha 90.00
_cell_angle_beta 108.46
_cell_angle_gamma 90.00
_space_group_name_H-M_alt 'C 1 2/m 1'
_space_group_IT_number 12
loop_
_space_group_symop_operation_xyz
'x,y,z'
'-x,-y,-z'
'-x,y,-z'
'x,-y,z'
'x+1/2,y+1/2,z'
'-x+1/2,-y+1/2,-z'
'-x+1/2,y+1/2,-z'
'x+1/2,-y+1/2,z'
loop_
_atom_site_label
_atom_site_type_symbol
_atom_site_fract_x
_atom_site_fract_y
_atom_site_fract_z
La1 La 0.000 0.000 0.000
La2 La 0.155 0.000 0.697
Ge1 Ge 0.035 0.500 0.777
Ge2 Ge 0.137 0.500 0.451
Ge3 Ge 0.200 0.000 0.131
Pd1 Pd 0.000 0.500 0.500
Pd2 Pd 0.044 0.000 0.335
Pd3 Pd 0.125 0.500 0.200
Pd4 Pd 0.179 0.500 0.964
Pd5 Pd 0.218 0.000 0.393
```

## Properties
For the calculated formation energy, the calculation gives -817 meV per atom.

Copy entry 3 word for word.
Cd2FeHg | PBE | relaxed

Geometry as CIF:
```
data_Cd2FeHg
_chemical_formula_sum 'Cd2 Fe1 Hg1'
_cell_length_a 4.230
_cell_length_b 4.230
_cell_length_c 4.249
_cell_angle_alpha 90.00
_cell_angle_beta 90.00
_cell_angle_gamma 90.00
_space_group_name_H-M_alt 'P 4/m m m'
_space_group_IT_number 123
_space_group_name_Hall '-P 4 2'
loop_
_atom_site_label
_atom_site_type_symbol
_atom_site_fract_x
_atom_site_fract_y
_atom_site_fract_z
Cd1 Cd 0.000 0.500 0.000
Fe1 Fe 0.000 0.000 0.500
Hg1 Hg 0.500 0.500 0.500
```

## Properties
For the calculated formation energy, the calculation gives 292 meV per atom.